Entry A
# Tb2Pr4Nd5 | Alexandria | PBE-GGA | optimized geometry
data_Tb2Pr4Nd5
_chemical_formula_sum 'Tb2 Pr4 Nd5'
_space_group_name_H-M_alt 'P 1 2/m 1'
_space_group_IT_number 10
_space_group_name_Hall '-P 2y'
_cell_length_a 9.086
_cell_length_b 3.572
_cell_length_c 11.993
_cell_angle_alpha 90.00
_cell_angle_beta 94.35
_cell_angle_gamma 90.00
loop_
_atom_site_label
_atom_site_type_symbol
_atom_site_fract_x
_atom_site_fract_y
_atom_site_fract_z
Tb1 Tb 0.057 0.000 0.135
Pr1 Pr 0.154 0.500 0.394
Pr2 Pr 0.289 0.500 0.951
Nd1 Nd 0.199 0.000 0.670
Nd2 Nd 0.426 0.000 0.209
Nd3 Nd 0.500 0.000 0.500
# Magnetization ... 0.000 μB per formula unit

Entry B
# Tb2Pr4Nd5 | Alexandria | PBE-GGA | optimized geometry
data_Tb2Pr4Nd5
_chemical_formula_sum 'Tb4 Pr8 Nd10'
_space_group_name_H-M_alt 'C 1 2/m 1'
_space_group_IT_number 12
_space_group_name_Hall '-C 2y'
_cell_length_a 24.518
_cell_length_b 3.533
_cell_length_c 9.011
_cell_angle_alpha 90.00
_cell_angle_beta 96.91
_cell_angle_gamma 90.00
loop_
_atom_site_label
_atom_site_type_symbol
_atom_site_fract_x
_atom_site_fract_y
_atom_site_fract_z
Tb1 Tb 0.090 0.000 0.234
Pr1 Pr 0.046 0.000 0.861
Pr2 Pr 0.178 0.500 0.972
Nd1 Nd 0.000 0.500 0.500
Nd2 Nd 0.141 0.000 0.613
Nd3 Nd 0.230 0.000 0.324
# Magnetization ... 0.000 μB per formula unit

The structure with the most favorable energy is entry A; the runner-up is 4.5 kJ/mol of atoms above it.

Entry A
# Tb5Pr2Nd4 | Alexandria | PBE-GGA | optimized geometry
data_Tb5Pr2Nd4
_chemical_formula_sum 'Tb10 Pr4 Nd8'
_space_group_name_H-M_alt 'C 1 2/m 1'
_space_group_IT_number 12
_space_group_name_Hall '-C 2y'
_cell_length_a 11.242
_cell_length_b 7.533
_cell_length_c 9.375
_cell_angle_alpha 90.00
_cell_angle_beta 107.19
_cell_angle_gamma 90.00
loop_
_atom_site_label
_atom_site_type_symbol
_atom_site_fract_x
_atom_site_fract_y
_atom_site_fract_z
Tb1 Tb 0.000 0.000 0.000
Tb2 Tb 0.067 0.282 0.274
Pr1 Pr 0.142 0.000 0.628
Nd1 Nd 0.175 0.500 0.623
Nd2 Nd 0.186 0.500 0.997
# Magnetization ... 0.000 μB per formula unit

Entry B
# Tb5Pr2Nd4 | Alexandria | PBE-GGA | optimized geometry
data_Tb5Pr2Nd4
_chemical_formula_sum 'Tb10 Pr4 Nd8'
_space_group_name_H-M_alt 'C 1 2/m 1'
_space_group_IT_number 12
_space_group_name_Hall '-C 2y'
_cell_length_a 19.866
_cell_length_b 5.931
_cell_length_c 6.393
_cell_angle_alpha 90.00
_cell_angle_beta 95.64
_cell_angle_gamma 90.00
loop_
_atom_site_label
_atom_site_type_symbol
_atom_site_fract_x
_atom_site_fract_y
_atom_site_fract_z
Tb1 Tb 0.000 0.000 0.000
Tb2 Tb 0.130 0.500 0.850
Tb3 Tb 0.215 0.500 0.392
Pr1 Pr 0.099 0.000 0.541
Nd1 Nd 0.037 0.500 0.271
Nd2 Nd 0.194 0.000 0.072
# Magnetization ... 0.000 μB per formula unit

The structure with the most favorable energy is entry B; the runner-up is 1.9 kJ/mol of atoms above it.

Entry A
# Tb7Pr12Nd | Alexandria | PBE-GGA | optimized geometry
data_Tb7Pr12Nd
_chemical_formula_sum 'Tb21 Pr36 Nd3'
_space_group_name_H-M_alt 'R -3'
_space_group_IT_number 148
_space_group_name_Hall '-R 3'
_cell_length_a 19.7647
_cell_length_b 19.7647
_cell_length_c 6.3055
_cell_angle_alpha 90.00
_cell_angle_beta 90.00
_cell_angle_gamma 120.00
loop_
_atom_site_label
_atom_site_type_symbol
_atom_site_fract_x
_atom_site_fract_y
_atom_site_fract_z
Tb1 Tb 0.0000 0.0000 0.0000
Tb2 Tb 0.0818 0.9172 0.2932
Pr1 Pr 0.0003 0.4117 0.0012
Pr2 Pr 0.0972 0.5490 0.4696
Nd1 Nd 0.0000 0.0000 0.5000
# Magnetization ... 0.000 μB per formula unit

Entry B
# Tb7Pr12Nd | Alexandria | PBE-GGA | optimized geometry
data_Tb7Pr12Nd
_chemical_formula_sum 'Tb21 Pr36 Nd3'
_space_group_name_H-M_alt 'R -3'
_space_group_IT_number 148
_space_group_name_Hall '-R 3'
_cell_length_a 15.3887
_cell_length_b 15.3887
_cell_length_c 10.2621
_cell_angle_alpha 90.00
_cell_angle_beta 90.00
_cell_angle_gamma 120.00
loop_
_atom_site_label
_atom_site_type_symbol
_atom_site_fract_x
_atom_site_fract_y
_atom_site_fract_z
Tb1 Tb 0.0000 0.0000 0.0000
Tb2 Tb 0.0661 0.2459 0.4259
Pr1 Pr 0.0439 0.1998 0.7513
Pr2 Pr 0.0463 0.2476 0.0763
Nd1 Nd 0.0000 0.0000 0.5000
# Magnetization ... 0.000 μB per formula unit

The structure with the most favorable energy is entry B; the runner-up is 8.7 kJ/mol of atoms above it.

Entry A
# Tb2Pr5Nd12 | Alexandria | PBE-GGA | optimized geometry
data_Tb2Pr5Nd12
_chemical_formula_sum 'Tb4 Pr10 Nd24'
_space_group_name_H-M_alt 'C 1 2/m 1'
_space_group_IT_number 12
_space_group_name_Hall '-C 2y'
_cell_length_a 18.941
_cell_length_b 7.265
_cell_length_c 10.593
_cell_angle_alpha 90.00
_cell_angle_beta 111.58
_cell_angle_gamma 90.00
loop_
_atom_site_label
_atom_site_type_symbol
_atom_site_fract_x
_atom_site_fract_y
_atom_site_fract_z
Tb1 Tb 0.000 0.220 0.000
Pr1 Pr 0.000 0.500 0.500
Pr2 Pr 0.174 0.000 0.208
Pr3 Pr 0.185 0.500 0.184
Nd1 Nd 0.002 0.000 0.322
Nd2 Nd 0.025 0.500 0.242
Nd3 Nd 0.159 0.252 0.867
Nd4 Nd 0.167 0.249 0.521
# Magnetization ... 0.000 μB per formula unit

Entry B
# Tb2Pr5Nd12 | Alexandria | PBE-GGA | optimized geometry
data_Tb2Pr5Nd12
_chemical_formula_sum 'Tb4 Pr10 Nd24'
_space_group_name_H-M_alt 'C 1 2/m 1'
_space_group_IT_number 12
_space_group_name_Hall '-C 2y'
_cell_length_a 22.700
_cell_length_b 7.234
_cell_length_c 8.878
_cell_angle_alpha 90.00
_cell_angle_beta 110.33
_cell_angle_gamma 90.00
loop_
_atom_site_label
_atom_site_type_symbol
_atom_site_fract_x
_atom_site_fract_y
_atom_site_fract_z
Tb1 Tb 0.000 0.243 0.000
Pr1 Pr 0.000 0.500 0.500
Pr2 Pr 0.150 0.000 0.095
Pr3 Pr 0.248 0.500 0.489
Nd1 Nd 0.048 0.000 0.695
Nd2 Nd 0.106 0.243 0.383
Nd3 Nd 0.142 0.500 0.058
Nd4 Nd 0.201 0.247 0.793
# Magnetization ... 0.000 μB per formula unit

The structure with the most favorable energy is entry B; the runner-up is 3.2 kJ/mol of atoms above it.

Entry A
# Tb4PrNd6 | Alexandria | PBE-GGA | optimized geometry
data_Tb4PrNd6
_chemical_formula_sum 'Tb4 Pr1 Nd6'
_space_group_name_H-M_alt 'P -6 m 2'
_space_group_IT_number 187
_space_group_name_Hall 'P -6 2'
_cell_length_a 11.1555
_cell_length_b 11.1555
_cell_length_c 3.6103
_cell_angle_alpha 90.00
_cell_angle_beta 90.00
_cell_angle_gamma 120.00
loop_
_atom_site_label
_atom_site_type_symbol
_atom_site_fract_x
_atom_site_fract_y
_atom_site_fract_z
Tb1 Tb 0.0000 0.0000 0.0000
Tb2 Tb 0.5051 0.0102 0.5000
Pr1 Pr 0.6667 0.3333 0.0000
Nd1 Nd 0.1907 0.3814 0.0000
Nd2 Nd 0.3008 0.1504 0.5000
# Magnetization ... 0.000 μB per formula unit

Entry B
# Tb4PrNd6 | Alexandria | PBE-GGA | optimized geometry
data_Tb4PrNd6
_chemical_formula_sum 'Tb8 Pr2 Nd12'
_space_group_name_H-M_alt 'I -4 2 m'
_space_group_IT_number 121
_space_group_name_Hall 'I -4 2'
_cell_length_a 6.603
_cell_length_b 6.603
_cell_length_c 17.737
_cell_angle_alpha 90.00
_cell_angle_beta 90.00
_cell_angle_gamma 90.00
loop_
_atom_site_label
_atom_site_type_symbol
_atom_site_fract_x
_atom_site_fract_y
_atom_site_fract_z
Tb1 Tb 0.187 0.187 0.322
Pr1 Pr 0.000 0.000 0.500
Nd1 Nd 0.000 0.500 0.000
Nd2 Nd 0.179 0.179 0.135
# Magnetization ... 0.001 μB per formula unit

The structure with the most favorable energy is entry A; the runner-up is 13.8 kJ/mol of atoms above it.

Entry A
# Tb3Pr2Nd5 | Alexandria | PBE-GGA | optimized geometry
data_Tb3Pr2Nd5
_chemical_formula_sum 'Tb12 Pr8 Nd20'
_space_group_name_H-M_alt 'I b a m'
_space_group_IT_number 72
_space_group_name_Hall '-I 2 2c'
_cell_length_a 9.548
_cell_length_b 22.263
_cell_length_c 6.910
_cell_angle_alpha 90.00
_cell_angle_beta 90.00
_cell_angle_gamma 90.00
loop_
_atom_site_label
_atom_site_type_symbol
_atom_site_fract_x
_atom_site_fract_y
_atom_site_fract_z
Tb1 Tb 0.000 0.000 0.250
Tb2 Tb 0.248 0.119 0.000
Pr1 Pr 0.100 0.121 0.500
Nd1 Nd 0.000 0.247 0.250
Nd2 Nd 0.000 0.500 0.250
Nd3 Nd 0.092 0.373 0.000
# Magnetization ... 0.000 μB per formula unit

Entry B
# Tb3Pr2Nd5 | Alexandria | PBE-GGA | optimized geometry
data_Tb3Pr2Nd5
_chemical_formula_sum 'Tb12 Pr8 Nd20'
_space_group_name_H-M_alt 'C 1 2/c 1'
_space_group_IT_number 15
_space_group_name_Hall '-C 2yc'
_cell_length_a 11.045
_cell_length_b 15.545
_cell_length_c 9.846
_cell_angle_alpha 90.00
_cell_angle_beta 123.90
_cell_angle_gamma 90.00
loop_
_atom_site_label
_atom_site_type_symbol
_atom_site_fract_x
_atom_site_fract_y
_atom_site_fract_z
Tb1 Tb 0.000 0.022 0.250
Tb2 Tb 0.157 0.378 0.547
Pr1 Pr 0.146 0.123 0.055
Nd1 Nd 0.000 0.229 0.250
Nd2 Nd 0.000 0.269 0.750
Nd3 Nd 0.000 0.469 0.750
Nd4 Nd 0.236 0.381 0.227
# Magnetization ... 0.000 μB per formula unit

The structure with the most favorable energy is entry B; the runner-up is 17.4 kJ/mol of atoms above it.

Entry A
# TbPr3Nd2 | Alexandria | PBE-GGA | optimized geometry
data_TbPr3Nd2
_chemical_formula_sum 'Tb2 Pr6 Nd4'
_space_group_name_H-M_alt 'P n n m'
_space_group_IT_number 58
_space_group_name_Hall '-P 2 2n'
_cell_length_a 6.850
_cell_length_b 18.100
_cell_length_c 3.471
_cell_angle_alpha 90.00
_cell_angle_beta 90.00
_cell_angle_gamma 90.00
loop_
_atom_site_label
_atom_site_type_symbol
_atom_site_fract_x
_atom_site_fract_y
_atom_site_fract_z
Tb1 Tb 0.000 0.000 0.000
Pr1 Pr 0.000 0.500 0.000
Pr2 Pr 0.238 0.180 0.000
Nd1 Nd 0.233 0.350 0.500
# Magnetization ... 0.000 μB per formula unit

Entry B
# TbPr3Nd2 | Alexandria | PBE-GGA | optimized geometry
data_TbPr3Nd2
_chemical_formula_sum 'Tb4 Pr12 Nd8'
_space_group_name_H-M_alt 'C 1 2/m 1'
_space_group_IT_number 12
_space_group_name_Hall '-C 2y'
_cell_length_a 13.567
_cell_length_b 3.598
_cell_length_c 17.961
_cell_angle_alpha 90.00
_cell_angle_beta 102.10
_cell_angle_gamma 90.00
loop_
_atom_site_label
_atom_site_type_symbol
_atom_site_fract_x
_atom_site_fract_y
_atom_site_fract_z
Tb1 Tb 0.043 0.000 0.180
Pr1 Pr 0.062 0.500 0.667
Pr2 Pr 0.126 0.000 0.492
Pr3 Pr 0.228 0.000 0.835
Nd1 Nd 0.131 0.000 0.001
Nd2 Nd 0.199 0.500 0.335
# Magnetization ... 0.000 μB per formula unit

The structure with the most favorable energy is entry B; the runner-up is 12.9 kJ/mol of atoms above it.

Entry A
# Tb9Pr2Nd | Alexandria | PBE-GGA | optimized geometry
data_Tb9Pr2Nd
_chemical_formula_sum 'Tb9 Pr2 Nd1'
_space_group_name_H-M_alt 'P 6/m m m'
_space_group_IT_number 191
_space_group_name_Hall '-P 6 2'
_cell_length_a 11.3839
_cell_length_b 11.3839
_cell_length_c 3.5257
_cell_angle_alpha 90.00
_cell_angle_beta 90.00
_cell_angle_gamma 120.00
loop_
_atom_site_label
_atom_site_type_symbol
_atom_site_fract_x
_atom_site_fract_y
_atom_site_fract_z
Tb1 Tb 0.0000 0.5000 0.0000
Tb2 Tb 0.1743 0.3485 0.5000
Pr1 Pr 0.3333 0.6667 0.0000
Nd1 Nd 0.0000 0.0000 0.0000
# Magnetization ... 0.000 μB per formula unit

Entry B
# Tb9Pr2Nd | Alexandria | PBE-GGA | optimized geometry
data_Tb9Pr2Nd
_chemical_formula_sum 'Tb9 Pr2 Nd1'
_space_group_name_H-M_alt 'P 4/m m m'
_space_group_IT_number 123
_space_group_name_Hall '-P 4 2'
_cell_length_a 5.084
_cell_length_b 5.084
_cell_length_c 15.254
_cell_angle_alpha 90.00
_cell_angle_beta 90.00
_cell_angle_gamma 90.00
loop_
_atom_site_label
_atom_site_type_symbol
_atom_site_fract_x
_atom_site_fract_y
_atom_site_fract_z
Tb1 Tb 0.000 0.000 0.000
Tb2 Tb 0.000 0.000 0.333
Tb3 Tb 0.000 0.500 0.166
Tb4 Tb 0.000 0.500 0.500
Pr1 Pr 0.500 0.500 0.333
Nd1 Nd 0.500 0.500 0.000
# Magnetization ... 0.000 μB per formula unit

The structure with the most favorable energy is entry B; the runner-up is 3.9 kJ/mol of atoms above it.

Entry A
# Tb2Pr3Nd6 | Alexandria | PBE-GGA | optimized geometry
data_Tb2Pr3Nd6
_chemical_formula_sum 'Tb6 Pr9 Nd18'
_space_group_name_H-M_alt 'R -3 m'
_space_group_IT_number 166
_space_group_name_Hall '-R 3 2"'
_cell_length_a 3.6661
_cell_length_b 3.6661
_cell_length_c 98.9531
_cell_angle_alpha 90.00
_cell_angle_beta 90.00
_cell_angle_gamma 120.00
loop_
_atom_site_label
_atom_site_type_symbol
_atom_site_fract_x
_atom_site_fract_y
_atom_site_fract_z
Tb1 Tb 0.0000 0.0000 0.0450
Pr1 Pr 0.0000 0.0000 0.2279
Pr2 Pr 0.0000 0.0000 0.5000
Nd1 Nd 0.0000 0.0000 0.1360
Nd2 Nd 0.0000 0.0000 0.3180
Nd3 Nd 0.0000 0.0000 0.4079
# Magnetization ... 0.000 μB per formula unit

Entry B
# Tb2Pr3Nd6 | Alexandria | PBE-GGA | optimized geometry
data_Tb2Pr3Nd6
_chemical_formula_sum 'Tb4 Pr6 Nd12'
_space_group_name_H-M_alt 'I 4/m m m'
_space_group_IT_number 139
_space_group_name_Hall '-I 4 2'
_cell_length_a 4.876
_cell_length_b 4.876
_cell_length_c 33.891
_cell_angle_alpha 90.00
_cell_angle_beta 90.00
_cell_angle_gamma 90.00
loop_
_atom_site_label
_atom_site_type_symbol
_atom_site_fract_x
_atom_site_fract_y
_atom_site_fract_z
Tb1 Tb 0.000 0.000 0.045
Pr1 Pr 0.000 0.000 0.298
Pr2 Pr 0.000 0.000 0.500
Nd1 Nd 0.000 0.000 0.196
Nd2 Nd 0.000 0.500 0.119
# Magnetization ... 0.000 μB per formula unit

The structure with the most favorable energy is entry A; the runner-up is 24.2 kJ/mol of atoms above it.